! Cd5Ag4Au2 PBE relaxed; values from VASP
! - SG = No. 12
! - offset from the most stable computed form (meV/atom) = 14.0
! - DOS(E_F) (states/eV/f.u.) = 3.54
! - formation energy (eV per atom) = -0.054
! - calculated total energy (eV/atom) = -2.102
&SYSTEM
  ibrav = 0, nat = 11, ntyp = 3
/
ATOMIC_SPECIES
Au 196.97 Au.upf
Cd 112.41 Cd.upf
Ag 107.87 Ag.upf
ATOMIC_POSITIONS crystal
Au 0.336 0.888 0.672
Cd 0.838 0.623 0.676
Au 0.664 0.112 0.328
Cd 0.812 0.106 0.623
Cd 0.162 0.377 0.324
Ag 0.017 0.755 0.034
Ag 0.983 0.245 0.966
Ag 0.588 0.559 0.175
Cd 0.188 0.894 0.377
Ag 0.412 0.441 0.825
Cd 0.500 0.000 0.000
CELL_PARAMETERS angstrom
-3.204 -1.336 -3.000
4.257 0.727 -4.871
-0.249 -7.157 6.962

! Cd5Ag2Au12 PBE relaxed; values from VASP
! - SG = No. 12
! - DOS(E_F) (states/eV/f.u.) = 7.18
! - formation energy (eV per atom) = -0.088
! - calculated total energy (eV/atom) = -2.699
&SYSTEM
  ibrav = 0, nat = 19, ntyp = 3
/
ATOMIC_SPECIES
Au 196.97 Au.upf
Cd 112.41 Cd.upf
Ag 107.87 Ag.upf
ATOMIC_POSITIONS crystal
Au 0.897 0.106 0.212
Au 0.242 0.347 0.323
Au 0.653 0.414 0.237
Au 0.242 0.976 0.323
Au 0.324 0.557 0.114
Cd 0.018 0.311 0.621
Au 0.103 0.894 0.788
Cd 0.426 0.760 0.519
Ag 0.000 0.302 0.000
Cd 0.574 0.240 0.481
Cd 0.982 0.689 0.379
Au 0.347 0.177 0.763
Au 0.758 0.653 0.677
Au 0.347 0.586 0.763
Au 0.758 0.024 0.677
Cd 0.500 0.000 0.000
Au 0.653 0.823 0.237
Ag 0.000 0.698 0.000
Au 0.676 0.443 0.886
CELL_PARAMETERS angstrom
6.962 0.218 -0.409
-0.428 6.703 -3.705
0.442 -0.008 7.875

! Cd12Ag5Au2 PBE relaxed; values from VASP
! - SG = No. 12
! - offset from the most stable computed form (meV/atom) = 94.9
! - DOS(E_F) (states/eV/f.u.) = 4.57
! - formation energy (eV per atom) = 0.032
! - calculated total energy (eV/atom) = -1.641
&SYSTEM
  ibrav = 0, nat = 19, ntyp = 3
/
ATOMIC_SPECIES
Au 196.97 Au.upf
Cd 112.41 Cd.upf
Ag 107.87 Ag.upf
ATOMIC_POSITIONS crystal
Au 0.302 0.000 0.000
Cd 0.414 0.247 0.605
Cd 0.546 0.092 0.296
Ag 0.654 0.307 0.890
Ag 0.000 0.000 0.500
Cd 0.454 0.908 0.704
Cd 0.564 0.612 0.846
Cd 0.436 0.388 0.154
Cd 0.586 0.753 0.395
Cd 0.994 0.989 0.805
Ag 0.254 0.507 0.573
Cd 0.952 0.388 0.154
Cd 0.048 0.612 0.846
Cd 0.167 0.753 0.395
Ag 0.746 0.493 0.427
Cd 0.833 0.247 0.605
Au 0.698 0.000 0.000
Cd 0.006 0.011 0.195
Ag 0.346 0.693 0.110
CELL_PARAMETERS angstrom
7.168 0.000 0.000
-3.584 7.061 0.401
0.000 -2.058 8.650